Below is Cr2RuO after structural relaxation, with properties calculated at the GGA+U level.

Cell and atoms, written as CIF:
```
data_Cr2RuO
_cell_length_a 5.988
_cell_length_b 5.988
_cell_length_c 6.641
_cell_angle_alpha 90.00
_cell_angle_beta 90.00
_cell_angle_gamma 90.00
_space_group_name_H-M_alt 'I -4 2 d'
_space_group_IT_number 122
_space_group_name_Hall 'I -4 2bw'
loop_
_atom_site_label
_atom_site_type_symbol
_atom_site_fract_x
_atom_site_fract_y
_atom_site_fract_z
Cr1 Cr 0.160 0.750 0.125
Ru1 Ru 0.000 0.000 0.500
O1 O 0.000 0.000 0.000
```

Properties
**Final energy**: -115.29 eV for the cell shown
**Mass density**: 6.17 Mg/m³
**N(E_F)**: 1.2453 states/eV per atom